i) A plane-wave DFT calculation with PBE was carried out for crystalline MgPdW2 at its relaxed geometry.

Cell lengths 7.5340, 7.5340, 5.0801 Å; angles 90.00, 90.00, 90.00 degrees
Fractional coordinates of all 16 atoms:
Mg: 0.0000 0.0000 0.0000
Mg: 0.0000 0.5000 0.2500
Mg: 0.5000 0.0000 0.7500
Mg: 0.5000 0.5000 0.5000
Pd: 0.0000 0.0000 0.5000
Pd: 0.0000 0.5000 0.7500
Pd: 0.5000 0.0000 0.2500
Pd: 0.5000 0.5000 0.0000
W: 0.2185 0.7500 0.6250
W: 0.2500 0.2185 0.3750
W: 0.2500 0.2815 0.8750
W: 0.2815 0.7500 0.1250
W: 0.7185 0.2500 0.1250
W: 0.7500 0.7185 0.8750
W: 0.7500 0.7815 0.3750
W: 0.7815 0.2500 0.6250

Results
Total magnetic moment: 0.0 μB per formula unit
Calculated volume: 18.0 Å³ per atom
DOS at the Fermi energy: 1.05 states/eV/atom
Crystal system: tetragonal

ii) A plane-wave DFT calculation with PBE was carried out for crystalline MgPdW2 at its relaxed geometry.

Cell lengths 6.3688, 6.3688, 6.3688 Å; angles 90.00, 90.00, 90.00 degrees
Fractional coordinates of all 16 atoms:
Mg: 0.0000 0.0000 0.0000
Mg: 0.0000 0.5000 0.5000
Mg: 0.5000 0.0000 0.5000
Mg: 0.5000 0.5000 0.0000
Pd: 0.0000 0.0000 0.5000
Pd: 0.0000 0.5000 0.0000
Pd: 0.5000 0.0000 0.0000
Pd: 0.5000 0.5000 0.5000
W: 0.2500 0.2500 0.2500
W: 0.2500 0.2500 0.7500
W: 0.2500 0.7500 0.2500
W: 0.2500 0.7500 0.7500
W: 0.7500 0.2500 0.2500
W: 0.7500 0.2500 0.7500
W: 0.7500 0.7500 0.2500
W: 0.7500 0.7500 0.7500

Results
Total magnetic moment: 0.0 μB per formula unit
Calculated volume: 16.1 Å³ per atom
DOS at the Fermi energy: 1.28 states/eV/atom
Crystal system: cubic

The relative energies come out as i) 12.5; ii) 0.0, with values in kJ/mol of atoms.

i) A plane-wave DFT calculation with PBE was carried out for crystalline Mg2PdW at its relaxed geometry.

Cell lengths 6.4767, 6.4767, 6.4767 Å; angles 90.00, 90.00, 90.00 degrees
Fractional coordinates of all 16 atoms:
Mg: 0.2500 0.2500 0.2500
Mg: 0.2500 0.2500 0.7500
Mg: 0.2500 0.7500 0.2500
Mg: 0.2500 0.7500 0.7500
Mg: 0.7500 0.2500 0.2500
Mg: 0.7500 0.2500 0.7500
Mg: 0.7500 0.7500 0.2500
Mg: 0.7500 0.7500 0.7500
Pd: 0.0000 0.0000 0.0000
Pd: 0.0000 0.5000 0.5000
Pd: 0.5000 0.0000 0.5000
Pd: 0.5000 0.5000 0.0000
W: 0.0000 0.0000 0.5000
W: 0.0000 0.5000 0.0000
W: 0.5000 0.0000 0.0000
W: 0.5000 0.5000 0.5000

Results
Total magnetic moment: 2.3 μB per formula unit
Calculated volume: 17.0 Å³ per atom
DOS at the Fermi energy: 0.48 states/eV/atom
Crystal system: cubic

ii) A plane-wave DFT calculation with PBE was carried out for crystalline Mg2PdW at its relaxed geometry.

Cell lengths 7.2782, 7.2782, 5.4626 Å; angles 90.00, 90.00, 90.00 degrees
Fractional coordinates of all 16 atoms:
Mg: 0.2236 0.2500 0.1250
Mg: 0.2500 0.7236 0.3750
Mg: 0.2500 0.7764 0.8750
Mg: 0.2764 0.2500 0.6250
Mg: 0.7236 0.7500 0.6250
Mg: 0.7500 0.2236 0.8750
Mg: 0.7500 0.2764 0.3750
Mg: 0.7764 0.7500 0.1250
Pd: 0.0000 0.0000 0.0000
Pd: 0.0000 0.5000 0.2500
Pd: 0.5000 0.0000 0.7500
Pd: 0.5000 0.5000 0.5000
W: 0.0000 0.0000 0.5000
W: 0.0000 0.5000 0.7500
W: 0.5000 0.0000 0.2500
W: 0.5000 0.5000 0.0000

Results
Total magnetic moment: 0.0 μB per formula unit
Calculated volume: 18.1 Å³ per atom
DOS at the Fermi energy: 0.91 states/eV/atom
Crystal system: tetragonal

The relative energies come out as i) 0.0; ii) 23.9, with values in kJ/mol of atoms.

i) A plane-wave DFT calculation with PBE was carried out for crystalline Y4MgPd at its relaxed geometry.

Cell lengths 7.8922, 7.8922, 6.1229 Å; angles 99.60, 99.60, 110.46 degrees
Fractional coordinates of all 12 atoms:
Y: 0.0668 0.7180 0.9513
Y: 0.1961 0.3759 0.6158
Y: 0.2820 0.9332 0.5487
Y: 0.3759 0.1961 0.1158
Y: 0.6241 0.8039 0.8842
Y: 0.7180 0.0668 0.4513
Y: 0.8039 0.6241 0.3842
Y: 0.9332 0.2820 0.0487
Mg: 0.3817 0.6183 0.2500
Mg: 0.6183 0.3817 0.7500
Pd: 0.0000 0.0000 0.2500
Pd: 0.0000 0.0000 0.7500

Results
Total magnetic moment: 0.0 μB per formula unit
Calculated volume: 28.5 Å³ per atom
DOS at the Fermi energy: 1.28 states/eV/atom
Crystal system: monoclinic

ii) A plane-wave DFT calculation with PBE was carried out for crystalline Y4MgPd at its relaxed geometry.

Cell lengths 9.8181, 9.8181, 9.8181 Å; angles 60.00, 60.00, 60.00 degrees
Fractional coordinates of all 24 atoms:
Y: 0.0606 0.0606 0.4394
Y: 0.0606 0.4394 0.0606
Y: 0.0606 0.4394 0.4394
Y: 0.1835 0.1835 0.8165
Y: 0.1835 0.8165 0.1835
Y: 0.1835 0.8165 0.8165
Y: 0.1979 0.6007 0.6007
Y: 0.4394 0.0606 0.0606
Y: 0.4394 0.0606 0.4394
Y: 0.4394 0.4394 0.0606
Y: 0.6007 0.1979 0.6007
Y: 0.6007 0.6007 0.1979
Y: 0.6007 0.6007 0.6007
Y: 0.8165 0.1835 0.1835
Y: 0.8165 0.1835 0.8165
Y: 0.8165 0.8165 0.1835
Mg: 0.5096 0.8301 0.8301
Mg: 0.8301 0.5096 0.8301
Mg: 0.8301 0.8301 0.5096
Mg: 0.8301 0.8301 0.8301
Pd: 0.3934 0.3934 0.3934
Pd: 0.3934 0.3934 0.8198
Pd: 0.3934 0.8198 0.3934
Pd: 0.8198 0.3934 0.3934

Results
Total magnetic moment: 0.0 μB per formula unit
Calculated volume: 27.9 Å³ per atom
DOS at the Fermi energy: 1.18 states/eV/atom
Crystal system: cubic

The relative energies come out as i) 10.7; ii) 0.0, with values in kJ/mol of atoms.